No. 1
# Nb2GaPbW GGA-PBEsol optimized geometry
# - Energy of formation: 243.8 kJ/mol of atoms
data_Nb2GaPbW
_space_group_name_H-M_alt 'P 4/m m m'
_space_group_IT_number 123
_space_group_name_Hall '-P 4 2'
_cell_length_a 5.109
_cell_length_b 5.109
_cell_length_c 4.648
_cell_angle_alpha 90.00
_cell_angle_beta 90.00
_cell_angle_gamma 90.00
loop_
_atom_site_label
_atom_site_fract_x
_atom_site_fract_y
_atom_site_fract_z
Nb1 0.000 0.500 0.000
Ga1 0.000 0.000 0.500
Pb1 0.000 0.000 0.000
W1 0.500 0.500 0.500

=====

No. 2
# NbGa2Pd GGA-PBEsol optimized geometry
# - Energy of formation: -27.0 kJ/mol of atoms
data_NbGa2Pd
_space_group_name_H-M_alt 'F m -3 m'
_space_group_IT_number 225
_space_group_name_Hall '-F 4 2 3'
_cell_length_a 6.251
_cell_length_b 6.251
_cell_length_c 6.251
_cell_angle_alpha 90.00
_cell_angle_beta 90.00
_cell_angle_gamma 90.00
loop_
_atom_site_label
_atom_site_fract_x
_atom_site_fract_y
_atom_site_fract_z
Nb1 0.000 0.000 0.000
Ga1 0.250 0.250 0.250
Pd1 0.000 0.000 0.500

=====

No. 3
# RbNb3Ga GGA-PBEsol optimized geometry
# - Energy of formation: 156.6 kJ/mol of atoms
data_RbNb3Ga
_space_group_name_H-M_alt 'P m -3 m'
_space_group_IT_number 221
_space_group_name_Hall '-P 4 2 3'
_cell_length_a 4.956
_cell_length_b 4.956
_cell_length_c 4.956
_cell_angle_alpha 90.00
_cell_angle_beta 90.00
_cell_angle_gamma 90.00
loop_
_atom_site_label
_atom_site_fract_x
_atom_site_fract_y
_atom_site_fract_z
Rb1 0.000 0.000 0.000
Nb1 0.000 0.500 0.500
Ga1 0.500 0.500 0.500

=====

No. 4
# Rb3NbGa GGA-PBEsol optimized geometry
# - Energy of formation: 138.8 kJ/mol of atoms
data_Rb3NbGa
_space_group_name_H-M_alt 'P m -3 m'
_space_group_IT_number 221
_space_group_name_Hall '-P 4 2 3'
_cell_length_a 6.746
_cell_length_b 6.746
_cell_length_c 6.746
_cell_angle_alpha 90.00
_cell_angle_beta 90.00
_cell_angle_gamma 90.00
loop_
_atom_site_label
_atom_site_fract_x
_atom_site_fract_y
_atom_site_fract_z
Rb1 0.000 0.000 0.500
Nb1 0.000 0.000 0.000
Ga1 0.500 0.500 0.500

=====

No. 5
# Nb2GaReS GGA-PBEsol optimized geometry
# - Energy relative to the elements, uncorrected: 1.620 eV/atom
data_Nb2GaReS
_space_group_name_H-M_alt 'P 4/m m m'
_space_group_IT_number 123
_space_group_name_Hall '-P 4 2'
_cell_length_a 4.717
_cell_length_b 4.717
_cell_length_c 4.491
_cell_angle_alpha 90.00
_cell_angle_beta 90.00
_cell_angle_gamma 90.00
loop_
_atom_site_label
_atom_site_fract_x
_atom_site_fract_y
_atom_site_fract_z
Nb1 0.000 0.500 0.000
Ga1 0.000 0.000 0.000
Re1 0.000 0.000 0.500
S1 0.500 0.500 0.500

=====

No. 6
# TaNb2GaRu GGA-PBEsol optimized geometry
# - Energy of formation: 110.2 kJ/mol of atoms
data_TaNb2GaRu
_space_group_name_H-M_alt 'P 4/m m m'
_space_group_IT_number 123
_space_group_name_Hall '-P 4 2'
_cell_length_a 4.658
_cell_length_b 4.658
_cell_length_c 4.373
_cell_angle_alpha 90.00
_cell_angle_beta 90.00
_cell_angle_gamma 90.00
loop_
_atom_site_label
_atom_site_fract_x
_atom_site_fract_y
_atom_site_fract_z
Ta1 0.000 0.000 0.000
Nb1 0.000 0.500 0.500
Ga1 0.500 0.500 0.500
Ru1 0.500 0.500 0.000

=====

No. 7
# YNbGaRu2 GGA-PBEsol optimized geometry
# - Energy of formation: 62.4 kJ/mol of atoms
data_YNbGaRu2
_space_group_name_H-M_alt 'P 4/m m m'
_space_group_IT_number 123
_space_group_name_Hall '-P 4 2'
_cell_length_a 4.653
_cell_length_b 4.653
_cell_length_c 4.916
_cell_angle_alpha 90.00
_cell_angle_beta 90.00
_cell_angle_gamma 90.00
loop_
_atom_site_label
_atom_site_fract_x
_atom_site_fract_y
_atom_site_fract_z
Y1 0.000 0.000 0.000
Nb1 0.500 0.500 0.500
Ga1 0.500 0.500 0.000
Ru1 0.000 0.500 0.500

=====

No. 8
# NbGaS2 GGA-PBEsol optimized geometry
# - Energy relative to the elements, uncorrected: -0.239 eV/atom
data_NbGaS2
_space_group_name_H-M_alt 'I -4 2 d'
_space_group_IT_number 122
_space_group_name_Hall 'I -4 2bw'
_cell_length_a 6.293
_cell_length_b 6.293
_cell_length_c 9.729
_cell_angle_alpha 90.00
_cell_angle_beta 90.00
_cell_angle_gamma 90.00
loop_
_atom_site_label
_atom_site_fract_x
_atom_site_fract_y
_atom_site_fract_z
Nb1 0.000 0.000 0.000
Ga1 0.000 0.000 0.500
S1 0.204 0.250 0.125

=====

No. 9
# NbGaS2 GGA-PBEsol optimized geometry
# - Energy relative to the elements, uncorrected: -0.174 eV/atom
data_NbGaS2
_space_group_name_H-M_alt 'R -3 m'
_space_group_IT_number 166
_space_group_name_Hall '-R 3 2"'
_cell_length_a 3.3287
_cell_length_b 3.3287
_cell_length_c 22.9459
_cell_angle_alpha 90.00
_cell_angle_beta 90.00
_cell_angle_gamma 120.00
loop_
_atom_site_label
_atom_site_fract_x
_atom_site_fract_y
_atom_site_fract_z
Nb1 0.0000 0.0000 0.0000
Ga1 0.0000 0.0000 0.5000
S1 0.0000 0.0000 0.1039

=====

No. 10
# YScNb2Ga GGA-PBEsol optimized geometry
# - Energy of formation: 137.0 kJ/mol of atoms
data_YScNb2Ga
_space_group_name_H-M_alt 'P 4/m m m'
_space_group_IT_number 123
_space_group_name_Hall '-P 4 2'
_cell_length_a 4.869
_cell_length_b 4.869
_cell_length_c 5.179
_cell_angle_alpha 90.00
_cell_angle_beta 90.00
_cell_angle_gamma 90.00
loop_
_atom_site_label
_atom_site_fract_x
_atom_site_fract_y
_atom_site_fract_z
Y1 0.000 0.000 0.000
Sc1 0.500 0.500 0.500
Nb1 0.000 0.500 0.000
Ga1 0.000 0.000 0.500

=====

No. 11
# NbGaSe2 GGA-PBEsol optimized geometry
# - Energy relative to the elements, uncorrected: -0.061 eV/atom
data_NbGaSe2
_space_group_name_H-M_alt 'I -4 2 d'
_space_group_IT_number 122
_space_group_name_Hall 'I -4 2bw'
_cell_length_a 6.599
_cell_length_b 6.599
_cell_length_c 10.037
_cell_angle_alpha 90.00
_cell_angle_beta 90.00
_cell_angle_gamma 90.00
loop_
_atom_site_label
_atom_site_fract_x
_atom_site_fract_y
_atom_site_fract_z
Nb1 0.000 0.000 0.000
Ga1 0.000 0.000 0.500
Se1 0.213 0.250 0.125

=====

No. 12
# Nb2GaSe2 GGA-PBEsol optimized geometry
# - Energy relative to the elements, uncorrected: 0.026 eV/atom
data_Nb2GaSe2
_space_group_name_H-M_alt 'I 4/m m m'
_space_group_IT_number 139
_space_group_name_Hall '-I 4 2'
_cell_length_a 4.158
_cell_length_b 4.158
_cell_length_c 11.546
_cell_angle_alpha 90.00
_cell_angle_beta 90.00
_cell_angle_gamma 90.00
loop_
_atom_site_label
_atom_site_fract_x
_atom_site_fract_y
_atom_site_fract_z
Nb1 0.000 0.000 0.115
Ga1 0.000 0.000 0.500
Se1 0.000 0.500 0.250

=====

No. 13
# Nb2GaSn2 GGA-PBEsol optimized geometry
# - Energy of formation: 28.7 kJ/mol of atoms
data_Nb2GaSn2
_space_group_name_H-M_alt 'I 4/m m m'
_space_group_IT_number 139
_space_group_name_Hall '-I 4 2'
_cell_length_a 3.904
_cell_length_b 3.904
_cell_length_c 14.232
_cell_angle_alpha 90.00
_cell_angle_beta 90.00
_cell_angle_gamma 90.00
loop_
_atom_site_label
_atom_site_fract_x
_atom_site_fract_y
_atom_site_fract_z
Nb1 0.000 0.500 0.250
Ga1 0.000 0.000 0.000
Sn1 0.000 0.000 0.400

=====

No. 14
# Nb3GaSn GGA-PBEsol optimized geometry
# - Energy of formation: 162.7 kJ/mol of atoms
data_Nb3GaSn
_space_group_name_H-M_alt 'P m -3 m'
_space_group_IT_number 221
_space_group_name_Hall '-P 4 2 3'
_cell_length_a 4.975
_cell_length_b 4.975
_cell_length_c 4.975
_cell_angle_alpha 90.00
_cell_angle_beta 90.00
_cell_angle_gamma 90.00
loop_
_atom_site_label
_atom_site_fract_x
_atom_site_fract_y
_atom_site_fract_z
Nb1 0.000 0.000 0.500
Ga1 0.500 0.500 0.500
Sn1 0.000 0.000 0.000

=====

No. 15
# TaNb2Ga2 GGA-PBEsol optimized geometry
# - Energy of formation: -39.4 kJ/mol of atoms
data_TaNb2Ga2
_space_group_name_H-M_alt 'P 4/m b m'
_space_group_IT_number 127
_space_group_name_Hall '-P 4 2ab'
_cell_length_a 6.856
_cell_length_b 6.856
_cell_length_c 3.480
_cell_angle_alpha 90.00
_cell_angle_beta 90.00
_cell_angle_gamma 90.00
loop_
_atom_site_label
_atom_site_fract_x
_atom_site_fract_y
_atom_site_fract_z
Ta1 0.000 0.000 0.000
Nb1 0.176 0.324 0.500
Ga1 0.126 0.626 0.000

=====

No. 16
# Ta2NbGa2 GGA-PBEsol optimized geometry
# - Energy of formation: -32.2 kJ/mol of atoms
data_Ta2NbGa2
_space_group_name_H-M_alt 'P 4/m b m'
_space_group_IT_number 127
_space_group_name_Hall '-P 4 2ab'
_cell_length_a 6.843
_cell_length_b 6.843
_cell_length_c 3.479
_cell_angle_alpha 90.00
_cell_angle_beta 90.00
_cell_angle_gamma 90.00
loop_
_atom_site_label
_atom_site_fract_x
_atom_site_fract_y
_atom_site_fract_z
Ta1 0.175 0.325 0.000
Nb1 0.000 0.000 0.500
Ga1 0.126 0.626 0.500

=====

No. 17
# Nb2Ga2Tc GGA-PBEsol optimized geometry
# - Energy of formation: -25.9 kJ/mol of atoms
data_Nb2Ga2Tc
_space_group_name_H-M_alt 'P 4/m b m'
_space_group_IT_number 127
_space_group_name_Hall '-P 4 2ab'
_cell_length_a 6.625
_cell_length_b 6.625
_cell_length_c 3.562
_cell_angle_alpha 90.00
_cell_angle_beta 90.00
_cell_angle_gamma 90.00
loop_
_atom_site_label
_atom_site_fract_x
_atom_site_fract_y
_atom_site_fract_z
Nb1 0.171 0.329 0.000
Ga1 0.131 0.631 0.500
Tc1 0.000 0.000 0.500

=====

No. 18
# TiNb2Ga2 GGA-PBEsol optimized geometry
# - Energy relative to the lowest polymorph listed for this composition: 0.6486 eV per atom
# - Energy of formation: 22.4 kJ/mol of atoms
data_TiNb2Ga2
_space_group_name_H-M_alt 'I 4/m m m'
_space_group_IT_number 139
_space_group_name_Hall '-I 4 2'
_cell_length_a 3.490
_cell_length_b 3.490
_cell_length_c 14.416
_cell_angle_alpha 90.00
_cell_angle_beta 90.00
_cell_angle_gamma 90.00
loop_
_atom_site_label
_atom_site_fract_x
_atom_site_fract_y
_atom_site_fract_z
Ti1 0.000 0.000 0.000
Nb1 0.000 0.000 0.404
Ga1 0.000 0.500 0.250

=====

No. 19
# Ti2NbGa2 GGA-PBEsol optimized geometry
# - Energy of formation: -40.3 kJ/mol of atoms
data_Ti2NbGa2
_space_group_name_H-M_alt 'P 4/m b m'
_space_group_IT_number 127
_space_group_name_Hall '-P 4 2ab'
_cell_length_a 6.963
_cell_length_b 6.963
_cell_length_c 3.296
_cell_angle_alpha 90.00
_cell_angle_beta 90.00
_cell_angle_gamma 90.00
loop_
_atom_site_label
_atom_site_fract_x
_atom_site_fract_y
_atom_site_fract_z
Ti1 0.176 0.324 0.000
Nb1 0.000 0.000 0.500
Ga1 0.125 0.625 0.500

=====

No. 20
# TiNb2Ga2 GGA-PBEsol optimized geometry
# - Energy relative to the lowest polymorph listed for this composition: 0.0000 eV per atom
# - Energy of formation: -40.2 kJ/mol of atoms
data_TiNb2Ga2
_space_group_name_H-M_alt 'P 4/m b m'
_space_group_IT_number 127
_space_group_name_Hall '-P 4 2ab'
_cell_length_a 6.828
_cell_length_b 6.828
_cell_length_c 3.496
_cell_angle_alpha 90.00
_cell_angle_beta 90.00
_cell_angle_gamma 90.00
loop_
_atom_site_label
_atom_site_fract_x
_atom_site_fract_y
_atom_site_fract_z
Ti1 0.000 0.000 0.000
Nb1 0.174 0.326 0.500
Ga1 0.128 0.628 0.000

=====

no.,volume (Å³ per cell)
1,121
2,244
3,122
4,307
5,100
6,95
7,106
8,385
9,220
10,123
11,437
12,200
13,217
14,123
15,164
16,163
17,156
18,176
19,160
20,163